A plane-wave DFT calculation with PBE-GGA was carried out for a geometry-optimized La5Nd8In structure.

The space group is C2 (No. 5) and the conventional cell measures 15.809, 8.696 and 8.761 Å, with angles of 90.00, 123.26 and 90.00 degrees. The asymmetric unit holds La at (0.000, 0.000, 0.000), La at (0.046, 0.657, 0.828), La at (0.101, 0.323, 0.238), Nd at (0.125, 0.950, 0.565), Nd at (0.170, 0.549, 0.628), Nd at (0.184, 0.253, 0.939), Nd at (0.195, 0.729, 0.310) and In at (0.000, 0.278, 0.500).

Its energy relative to the elements is 71.9 meV/atom. The calculation puts the total DFT energy (no corrections) at -129.02 eV/cell.

---

A plane-wave DFT calculation with PBE-GGA was carried out for a geometry-optimized LaNd3In2 structure.

The space group is C2/m (No. 12) and the conventional cell measures 16.899, 5.522 and 9.473 Å, with angles of 90.00, 119.37 and 90.00 degrees. The asymmetric unit holds La at (0.130, 0.000, 0.173), Nd at (0.060, 0.000, 0.714), Nd at (0.118, 0.500, 0.545), Nd at (0.195, 0.500, 0.001), In at (0.018, 0.500, 0.166) and In at (0.229, 0.000, 0.592).

Its energy relative to the elements is -262.9 meV/atom. The calculation puts the total DFT energy (no corrections) at -105.14 eV/cell.